A relaxed LiTbInPd crystal, computed with GGA-PBE.

The calculation puts the formation energy at -0.604 eV per atom. The total magnetization comes out at 0.00 Bohr magnetons per cell. The density comes out at 8115 kg/m³.

The space group is F-43m (No. 216) and the conventional cell measures 6.817, 6.817 and 6.817 Å, with angles of 90.00, 90.00 and 90.00 degrees. The distinct sites, in fractional coordinates, are Li at (0.000, 0.000, 0.000), Tb at (0.250, 0.250, 0.250), In at (0.250, 0.250, 0.750) and Pd at (0.000, 0.000, 0.500).